(1)
# LiW3I | Alexandria | PBE | optimized geometry
# - formation energy (no corrections) (meV per atom) = 2687
# - energy above the lowest structure with this stoichiometry (kJ per mole of atoms) = 55.4
# - calculated volume (Å³/atom) = 23.555
data_LiW3I
_chemical_formula_sum 'Li1 W3 I1'
_cell_length_a 4.902
_cell_length_b 4.902
_cell_length_c 4.902
_cell_angle_alpha 90.00
_cell_angle_beta 90.00
_cell_angle_gamma 90.00
_symmetry_space_group_name_H-M 'P m -3 m'
_symmetry_Int_Tables_number 221
_symmetry_space_group_name_Hall '-P 4 2 3'
loop_
_atom_site_label
_atom_site_type_symbol
_atom_site_fract_x
_atom_site_fract_y
_atom_site_fract_z
_atom_site_occupancy
Li1 Li 0.000 0.000 0.000 1
W1 W 0.000 0.500 0.500 1
I1 I 0.500 0.500 0.500 1



(2)
# Cs2TeAu | Alexandria | PBE | optimized geometry
# - formation energy (no corrections) (meV per atom) = -413
# - energy above the lowest structure with this stoichiometry (kJ per mole of atoms) = 22.0
# - calculated volume (Å³/atom) = 42.959
data_Cs2TeAu
_chemical_formula_sum 'Cs2 Te1 Au1'
_cell_length_a 5.820
_cell_length_b 5.820
_cell_length_c 5.074
_cell_angle_alpha 90.00
_cell_angle_beta 90.00
_cell_angle_gamma 90.00
_symmetry_space_group_name_H-M 'P 4/m m m'
_symmetry_Int_Tables_number 123
_symmetry_space_group_name_Hall '-P 4 2'
loop_
_atom_site_label
_atom_site_type_symbol
_atom_site_fract_x
_atom_site_fract_y
_atom_site_fract_z
_atom_site_occupancy
Cs1 Cs 0.000 0.500 0.000 1
Te1 Te 0.000 0.000 0.500 1
Au1 Au 0.500 0.500 0.500 1



(3)
# YMnPt3 | Alexandria | PBE | optimized geometry
# - ΔH_f (0 K) (eV per atom) = 0.937
# - energy above the lowest structure with this stoichiometry (kJ per mole of atoms) = 89.6
# - calculated volume (Å³/atom) = 26.117
data_YMnPt3
_chemical_formula_sum 'Y1 Mn1 Pt3'
_cell_length_a 5.073
_cell_length_b 5.073
_cell_length_c 5.073
_cell_angle_alpha 90.00
_cell_angle_beta 90.00
_cell_angle_gamma 90.00
_symmetry_space_group_name_H-M 'P m -3 m'
_symmetry_Int_Tables_number 221
_symmetry_space_group_name_Hall '-P 4 2 3'
loop_
_atom_site_label
_atom_site_type_symbol
_atom_site_fract_x
_atom_site_fract_y
_atom_site_fract_z
_atom_site_occupancy
Y1 Y 0.000 0.000 0.000 1
Mn1 Mn 0.500 0.500 0.500 1
Pt1 Pt 0.000 0.000 0.500 1